Cs2DyGe2S6 | PBE | relaxed

The space group is C2/m (No. 12) and the conventional cell measures 12.603, 7.275 and 8.851 Å, with angles of 90.00, 117.82 and 90.00 degrees. The distinct sites, in fractional coordinates, are Cs at (0.215, 0.000, 0.149), Dy at (0.000, 0.000, 0.500), Ge at (0.107, 0.500, 0.328), S at (0.002, 0.245, 0.266) and S at (0.240, 0.000, 0.728).

The calculation puts the formation energy without anion corrections at -0.91 eV per atom. For the calculated total energy, the calculation gives -4.58 eV/atom.